Version 1
Here is crystalline AlMoOF2 at its relaxed geometry from Alexandria via LeMat-Bulk. Energies are from PBE+U.

Summary:
Crystal system   tetragonal
Space-group type   No. 123
Density of states at the Fermi level   0.40 states/eV per cell

Unit cell a=4.0672 b=4.0672 c=3.6053 alpha=90.00 beta=90.00 gamma=90.00
Positions (direct):
Mo  0.5000  0.5000  0.5000
Al  0.0000  0.0000  0.0000
O  0.0000  0.0000  0.5000
F  0.0000  0.5000  0.0000
F  0.5000  0.0000  0.0000

Version 2
Here is crystalline AlMoOF2 at its relaxed geometry from Alexandria via LeMat-Bulk. Energies are from PBE+U.

Summary:
Crystal system   tetragonal
Space-group type   No. 123
Density of states at the Fermi level   0.02 states/eV per cell

Unit cell a=4.2722 b=4.2722 c=4.2129 alpha=90.00 beta=90.00 gamma=90.00
Positions (direct):
F  0.0000  0.5000  0.0000
F  0.5000  0.0000  0.0000
O  0.0000  0.0000  0.5000
Mo  0.0000  0.0000  0.0000
Al  0.5000  0.5000  0.5000

Ordering by calculated energy gives the sequence version 1, version 2, with the first entry being the most stable.